A plane-wave DFT calculation with PBE was carried out for an optimized crystal structure of RbSn2Sb2.

The uncorrected energy comes out at -3.593 eV per atom. As for the spin magnetization: 0.00 μB per formula unit.

It has space group I4/mmm (No. 139), with a = 5.657 Å, b = 5.657 Å, c = 10.991 Å, α = 90.00°, β = 90.00° and γ = 90.00°. Symmetry generates all atoms from Rb at (0.000, 0.000, 0.000), Sn at (0.000, 0.000, 0.358) and Sb at (0.000, 0.500, 0.250).


A plane-wave DFT calculation with PBE was carried out for an optimized crystal structure of NdCdNi2H8.

The uncorrected energy comes out at -3.675 eV per atom. As for the spin magnetization: 0.00 μB per formula unit.

It has space group P-3 (No. 147), with a = 4.4093 Å, b = 4.4093 Å, c = 6.6413 Å, α = 90.00°, β = 90.00° and γ = 120.00°. Symmetry generates all atoms from Nd at (0.0000, 0.0000, 0.0000), Cd at (0.0000, 0.0000, 0.5000), Ni at (0.3333, 0.6667, 0.7241), H at (0.0348, 0.6746, 0.2856) and H at (0.3333, 0.6667, 0.9577).


A plane-wave DFT calculation with PBE was carried out for an optimized crystal structure of NdScSb.

The uncorrected energy comes out at -5.673 eV per atom. As for the spin magnetization: 1.03 μB per formula unit.

It has space group I4mm (No. 107), with a = 3.896 Å, b = 3.896 Å, c = 10.834 Å, α = 90.00°, β = 90.00° and γ = 90.00°. Symmetry generates all atoms from Nd at (0.000, 0.000, 0.000), Sc at (0.000, 0.000, 0.698) and Sb at (0.000, 0.000, 0.318).


A plane-wave DFT calculation with PBE was carried out for an optimized crystal structure of Ce3Pt4.

Its formation enthalpy at 0 K is -1080 meV/atom. The uncorrected energy comes out at -7.075 eV per atom. As for the spin magnetization: 1.45 μB per formula unit.

It has space group Cmcm (No. 63), with a = 3.991 Å, b = 10.593 Å, c = 14.739 Å, α = 90.00°, β = 90.00° and γ = 90.00°. Symmetry generates all atoms from Ce at (0.000, 0.074, 0.250), Ce at (0.000, 0.343, 0.096), Pt at (0.000, 0.000, 0.000), Pt at (0.000, 0.194, 0.750) and Pt at (0.000, 0.372, 0.606).


A plane-wave DFT calculation with PBE was carried out for an optimized crystal structure of HfPaC2.

Its formation enthalpy at 0 K is -326 meV/atom. The uncorrected energy comes out at -9.800 eV per atom. As for the spin magnetization: 0.00 μB per formula unit.

It has space group R3m (No. 160, hexagonal axes), with a = 3.4190 Å, b = 3.4190 Å, c = 17.4578 Å, α = 90.00°, β = 90.00° and γ = 120.00°. Symmetry generates all atoms from Hf at (0.0000, 0.0000, 0.0000), Pa at (0.0000, 0.0000, 0.1733), C at (0.0000, 0.0000, 0.5902) and C at (0.0000, 0.0000, 0.7489).


A plane-wave DFT calculation with PBE was carried out for an optimized crystal structure of NaTc2Rh.

Its formation enthalpy at 0 K is 937 meV/atom. The uncorrected energy comes out at -6.414 eV per atom. As for the spin magnetization: 1.21 μB per formula unit.

It has space group Fm-3m (No. 225), with a = 6.244 Å, b = 6.244 Å, c = 6.244 Å, α = 90.00°, β = 90.00° and γ = 90.00°. Symmetry generates all atoms from Na at (0.000, 0.000, 0.000), Tc at (0.250, 0.250, 0.250) and Rh at (0.000, 0.000, 0.500).


A plane-wave DFT calculation with PBE was carried out for an optimized crystal structure of BaMgZnPb2.

Its formation enthalpy at 0 K is -290 meV/atom. The uncorrected energy comes out at -2.732 eV per atom. As for the spin magnetization: 0.00 μB per formula unit.

It has space group I-4m2 (No. 119), with a = 4.860 Å, b = 4.860 Å, c = 12.836 Å, α = 90.00°, β = 90.00° and γ = 90.00°. Symmetry generates all atoms from Ba at (0.000, 0.000, 0.000), Mg at (0.000, 0.500, 0.250), Zn at (0.000, 0.500, 0.750) and Pb at (0.000, 0.000, 0.378).


A plane-wave DFT calculation with PBE was carried out for an optimized crystal structure of Cs2ThTa3O12.

The uncorrected energy comes out at -8.300 eV per atom. As for the spin magnetization: 3.03 μB per formula unit.

It has space group R-3m (No. 166, hexagonal axes), with a = 7.6755 Å, b = 7.6755 Å, c = 19.1712 Å, α = 90.00°, β = 90.00° and γ = 120.00°. Symmetry generates all atoms from Cs at (0.0000, 0.0000, 0.1172), Th at (0.0000, 0.0000, 0.5000), Ta at (0.0000, 0.5000, 0.0000), O at (0.0417, 0.5209, 0.1024) and O at (0.0887, 0.5443, 0.3422).


A plane-wave DFT calculation with PBE was carried out for an optimized crystal structure of AcPmSm3Y.

Its formation enthalpy at 0 K is 36 meV/atom. The uncorrected energy comes out at -4.877 eV per atom. As for the spin magnetization: 0.00 μB per formula unit.

It has space group P2_1/m (No. 11), with a = 8.258 Å, b = 5.216 Å, c = 10.406 Å, α = 90.00°, β = 108.64° and γ = 90.00°. Symmetry generates all atoms from Ac at (0.167, 0.250, 0.292), Pm at (0.496, 0.750, 0.876), Sm at (0.170, 0.750, 0.546), Sm at (0.171, 0.250, 0.793), Sm at (0.171, 0.750, 0.040) and Y at (0.497, 0.250, 0.627).


A plane-wave DFT calculation with PBE was carried out for an optimized crystal structure of La2PmYSe6.

The uncorrected energy comes out at -6.116 eV per atom. As for the spin magnetization: 0.00 μB per formula unit.

It has space group R3 (No. 146, hexagonal axes), with a = 7.4957 Å, b = 7.4957 Å, c = 19.6761 Å, α = 90.00°, β = 90.00° and γ = 120.00°. Symmetry generates all atoms from La at (0.0000, 0.0000, 0.0000), La at (0.0000, 0.0000, 0.4984), Pm at (0.0000, 0.0000, 0.2047), Y at (0.0000, 0.0000, 0.7026), Se at (0.0451, 0.3544, 0.7720) and Se at (0.0473, 0.6829, 0.2729).


A plane-wave DFT calculation with PBE was carried out for an optimized crystal structure of Sc4CdPd.

Its formation enthalpy at 0 K is -142 meV/atom. The uncorrected energy comes out at -5.381 eV per atom. As for the spin magnetization: 0.00 μB per formula unit.

It has space group C2/m (No. 12), with a = 8.184 Å, b = 4.709 Å, c = 8.128 Å, α = 90.00°, β = 109.56° and γ = 90.00°. Symmetry generates all atoms from Sc at (0.118, 0.000, 0.352), Sc at (0.131, 0.500, 0.894), Cd at (0.000, 0.500, 0.500) and Pd at (0.000, 0.000, 0.000).


A plane-wave DFT calculation with PBE was carried out for an optimized crystal structure of La12Y3Hg.

Its formation enthalpy at 0 K is -36 meV/atom. The uncorrected energy comes out at -4.963 eV per atom. As for the spin magnetization: 0.00 μB per formula unit.

It has space group P4/mmm (No. 123), with a = 5.158 Å, b = 5.158 Å, c = 20.837 Å, α = 90.00°, β = 90.00° and γ = 90.00°. Symmetry generates all atoms from La at (0.000, 0.000, 0.000), La at (0.000, 0.000, 0.247), La at (0.000, 0.000, 0.500), La at (0.000, 0.500, 0.121), La at (0.000, 0.500, 0.374), Y at (0.500, 0.500, 0.247), Y at (0.500, 0.500, 0.500) and Hg at (0.500, 0.500, 0.000).


no.,calculated density (g/cm³)
1,5.348
2,5.674
3,6.280
4,12.800
5,12.221
6,8.785
7,7.027
8,6.278
9,7.131
10,5.128
11,4.486
12,6.392